GeTe: PBEsol geometry, meta-GGA SCAN.

Structure (POSCAR):
```
GeTe
1.0
0.0000 2.9508 2.9508
2.9508 0.0000 2.9508
2.9508 2.9508 0.0000
Ge Te
1 1
Direct
0.0000 0.0000 0.0000 Ge
0.5000 0.5000 0.5000 Te
```

Calculated values
Calculated volume in Å³ per cell: 51.4
Space group: Fm-3m, No. 225
Formation energy without anion corrections in eV/atom: -0.04
Fermi-level density of states in states/eV/atom: 0.030
Magnetization in μB per formula unit: 0.00